Record 1
# PmMg6Pd2 GGA-PBE relaxed
# Total energy (eV for the cell shown): -27.786
# Formation energy (eV/atom): -0.3425
# D(E_F) (states/eV/cell): 5.87
data_PmMg6Pd2
_cell_length_a 4.318
_cell_length_b 4.318
_cell_length_c 10.547
_cell_angle_alpha 90.00
_cell_angle_beta 90.00
_cell_angle_gamma 90.00
_space_group_name_H-M_alt 'P 4/m m m'
_space_group_IT_number 123
_space_group_name_Hall '-P 4 2'
loop_
_atom_site_label
_atom_site_type_symbol
_atom_site_fract_x
_atom_site_fract_y
_atom_site_fract_z
Pm1 Pm 0.000 0.000 0.000
Mg1 Mg 0.000 0.000 0.500
Mg2 Mg 0.000 0.500 0.275
Mg3 Mg 0.500 0.500 0.500
Pd1 Pd 0.500 0.500 0.126

=====

Record 2
# LiReGeSe2 GGA-PBE relaxed
# Total energy (eV for the cell shown): -19.865
# Uncorrected formation energy (meV/atom): 1217
# D(E_F) (states/eV/cell): 4.89
data_LiReGeSe2
_cell_length_a 5.100
_cell_length_b 5.100
_cell_length_c 4.543
_cell_angle_alpha 90.00
_cell_angle_beta 90.00
_cell_angle_gamma 90.00
_space_group_name_H-M_alt 'P 4/m m m'
_space_group_IT_number 123
_space_group_name_Hall '-P 4 2'
loop_
_atom_site_label
_atom_site_type_symbol
_atom_site_fract_x
_atom_site_fract_y
_atom_site_fract_z
Li1 Li 0.000 0.000 0.000
Re1 Re 0.500 0.500 0.000
Ge1 Ge 0.000 0.000 0.500
Se1 Se 0.000 0.500 0.500

=====

Record 3
# DyThInAg GGA-PBE relaxed
# Total energy (eV for the cell shown): -74.068
# Formation energy (eV/atom): -0.2263
# D(E_F) (states/eV/cell): 18.12
data_DyThInAg
_cell_length_a 7.552
_cell_length_b 7.552
_cell_length_c 7.552
_cell_angle_alpha 90.00
_cell_angle_beta 90.00
_cell_angle_gamma 90.00
_space_group_name_H-M_alt 'F -4 3 m'
_space_group_IT_number 216
_space_group_name_Hall 'F -4 2 3'
loop_
_atom_site_label
_atom_site_type_symbol
_atom_site_fract_x
_atom_site_fract_y
_atom_site_fract_z
Dy1 Dy 0.000 0.000 0.000
Th1 Th 0.000 0.000 0.500
In1 In 0.250 0.250 0.750
Ag1 Ag 0.250 0.250 0.250

=====

Record 4
# SiTe4 GGA-PBE relaxed
# Energy above the most stable polymorph in this dataset (kJ/mol of atoms): 0.0
# Total energy (eV for the cell shown): -68.666
# Uncorrected formation energy (meV/atom): 165
# D(E_F) (states/eV/cell): 9.30
data_SiTe4
_cell_length_a 8.108
_cell_length_b 12.244
_cell_length_c 6.798
_cell_angle_alpha 90.00
_cell_angle_beta 103.95
_cell_angle_gamma 90.00
_space_group_name_H-M_alt 'C 1 2/c 1'
_space_group_IT_number 15
_space_group_name_Hall '-C 2yc'
loop_
_atom_site_label
_atom_site_type_symbol
_atom_site_fract_x
_atom_site_fract_y
_atom_site_fract_z
Si1 Si 0.000 0.070 0.250
Te1 Te 0.230 0.302 0.796
Te2 Te 0.232 0.065 0.622

=====

Record 5
# NiRh2Cl GGA-PBE relaxed
# Energy above the most stable polymorph in this dataset (kJ/mol of atoms): 28.2
# Total energy (eV for the cell shown): -40.543
# Uncorrected formation energy (meV/atom): 515
# D(E_F) (states/eV/cell): 13.46
data_NiRh2Cl
_cell_length_a 2.794
_cell_length_b 4.498
_cell_length_c 8.899
_cell_angle_alpha 90.00
_cell_angle_beta 90.00
_cell_angle_gamma 90.00
_space_group_name_H-M_alt 'I m m 2'
_space_group_IT_number 44
_space_group_name_Hall 'I 2 -2'
loop_
_atom_site_label
_atom_site_type_symbol
_atom_site_fract_x
_atom_site_fract_y
_atom_site_fract_z
Ni1 Ni 0.000 0.000 0.000
Rh1 Rh 0.000 0.000 0.519
Rh2 Rh 0.000 0.500 0.757
Cl1 Cl 0.000 0.500 0.261

=====

Record 6
# PuNpSb2 GGA-PBE relaxed
# Energy above the most stable polymorph in this dataset (kJ/mol of atoms): 7.2
# Total energy (eV for the cell shown): -36.950
# Uncorrected formation energy (meV/atom): -358
# D(E_F) (states/eV/cell): 16.00
data_PuNpSb2
_cell_length_a 3.743
_cell_length_b 3.743
_cell_length_c 7.491
_cell_angle_alpha 90.00
_cell_angle_beta 90.00
_cell_angle_gamma 90.00
_space_group_name_H-M_alt 'P 4/m m m'
_space_group_IT_number 123
_space_group_name_Hall '-P 4 2'
loop_
_atom_site_label
_atom_site_type_symbol
_atom_site_fract_x
_atom_site_fract_y
_atom_site_fract_z
Pu1 Pu 0.000 0.000 0.000
Np1 Np 0.000 0.000 0.500
Sb1 Sb 0.500 0.500 0.253

=====

Record 7
# BiBSb3 GGA-PBE relaxed
# Energy above the most stable polymorph in this dataset (kJ/mol of atoms): 0.0
# Total energy (eV for the cell shown): -19.725
# Uncorrected formation energy (meV/atom): 640
# D(E_F) (states/eV/cell): 4.94
data_BiBSb3
_cell_length_a 4.956
_cell_length_b 4.956
_cell_length_c 4.956
_cell_angle_alpha 90.00
_cell_angle_beta 90.00
_cell_angle_gamma 90.00
_space_group_name_H-M_alt 'P m -3 m'
_space_group_IT_number 221
_space_group_name_Hall '-P 4 2 3'
loop_
_atom_site_label
_atom_site_type_symbol
_atom_site_fract_x
_atom_site_fract_y
_atom_site_fract_z
Bi1 Bi 0.000 0.000 0.000
B1 B 0.500 0.500 0.500
Sb1 Sb 0.000 0.500 0.500

=====

Record 8
# Nb7Al2C2 GGA-PBE relaxed
# Total energy (eV for the cell shown): -195.643
# Formation energy (eV/atom): -0.1273
# D(E_F) (states/eV/cell): 11.21
data_Nb7Al2C2
_cell_length_a 2.962
_cell_length_b 14.382
_cell_length_c 8.147
_cell_angle_alpha 90.00
_cell_angle_beta 90.00
_cell_angle_gamma 90.00
_space_group_name_H-M_alt 'I m m 2'
_space_group_IT_number 44
_space_group_name_Hall 'I 2 -2'
loop_
_atom_site_label
_atom_site_type_symbol
_atom_site_fract_x
_atom_site_fract_y
_atom_site_fract_z
Nb1 Nb 0.000 0.000 0.000
Nb2 Nb 0.000 0.150 0.455
Nb3 Nb 0.000 0.325 0.640
Nb4 Nb 0.000 0.345 0.291
Al1 Al 0.000 0.000 0.661
Al2 Al 0.000 0.500 0.811
C1 C 0.000 0.241 0.917

=====

Record 9
# YFeTc2 GGA-PBE relaxed
# Energy above the most stable polymorph in this dataset (kJ/mol of atoms): 16.9
# Total energy (eV for the cell shown): -68.760
# Formation energy (eV/atom): 0.3197
# D(E_F) (states/eV/cell): 11.46
data_YFeTc2
_cell_length_a 4.029
_cell_length_b 3.043
_cell_length_c 11.125
_cell_angle_alpha 90.00
_cell_angle_beta 90.00
_cell_angle_gamma 90.00
_space_group_name_H-M_alt 'A m m 2'
_space_group_IT_number 38
_space_group_name_Hall 'A 2 -2'
loop_
_atom_site_label
_atom_site_type_symbol
_atom_site_fract_x
_atom_site_fract_y
_atom_site_fract_z
Y1 Y 0.000 0.000 0.000
Fe1 Fe 0.500 0.000 0.632
Tc1 Tc 0.000 0.000 0.740
Tc2 Tc 0.500 0.000 0.324

=====

Record 10
# Th3OsPt GGA-PBE relaxed
# Total energy (eV for the cell shown): -83.745
# Formation energy (eV/atom): -0.4685
# D(E_F) (states/eV/cell): 9.14
data_Th3OsPt
_cell_length_a 6.260
_cell_length_b 5.335
_cell_length_c 8.425
_cell_angle_alpha 90.00
_cell_angle_beta 90.00
_cell_angle_gamma 90.00
_space_group_name_H-M_alt 'P m m a'
_space_group_IT_number 51
_space_group_name_Hall '-P 2a 2a'
loop_
_atom_site_label
_atom_site_type_symbol
_atom_site_fract_x
_atom_site_fract_y
_atom_site_fract_z
Th1 Th 0.000 0.000 0.000
Th2 Th 0.250 0.000 0.367
Th3 Th 0.250 0.500 0.748
Os1 Os 0.250 0.000 0.692
Pt1 Pt 0.250 0.500 0.111

=====

Record 11
# TlBiTe2Au GGA-PBE relaxed
# Total energy (eV for the cell shown): -32.803
# Uncorrected formation energy (meV/atom): -119
# D(E_F) (states/eV/cell): 2.76
data_TlBiTe2Au
_cell_length_a 7.883
_cell_length_b 4.945
_cell_length_c 8.992
_cell_angle_alpha 90.00
_cell_angle_beta 99.74
_cell_angle_gamma 90.00
_space_group_name_H-M_alt 'P 1 2/c 1'
_space_group_IT_number 13
_space_group_name_Hall '-P 2yc'
loop_
_atom_site_label
_atom_site_type_symbol
_atom_site_fract_x
_atom_site_fract_y
_atom_site_fract_z
Tl1 Tl 0.000 0.135 0.250
Bi1 Bi 0.500 0.414 0.750
Te1 Te 0.230 0.332 0.974
Au1 Au 0.500 0.000 0.000

=====

Record 12
# LiCePaTc GGA-PBE relaxed
# Total energy (eV for the cell shown): -108.825
# Formation energy (eV/atom): 0.1259
# D(E_F) (states/eV/cell): 35.30
data_LiCePaTc
_cell_length_a 6.949
_cell_length_b 6.949
_cell_length_c 6.949
_cell_angle_alpha 90.00
_cell_angle_beta 90.00
_cell_angle_gamma 90.00
_space_group_name_H-M_alt 'F -4 3 m'
_space_group_IT_number 216
_space_group_name_Hall 'F -4 2 3'
loop_
_atom_site_label
_atom_site_type_symbol
_atom_site_fract_x
_atom_site_fract_y
_atom_site_fract_z
Li1 Li 0.000 0.000 0.000
Ce1 Ce 0.250 0.250 0.250
Pa1 Pa 0.250 0.250 0.750
Tc1 Tc 0.000 0.000 0.500